Entry 1:
# Ac4TeIr2S | Alexandria via LeMat-Bulk | PBE-GGA | optimized geometry
data_Ac4TeIr2S
_space_group_name_H-M_alt 'P 1 2/m 1'
_space_group_IT_number 10
_space_group_name_Hall '-P 2y'
_cell_length_a 7.5954
_cell_length_b 4.3756
_cell_length_c 8.0765
_cell_angle_alpha 90.00
_cell_angle_beta 108.42
_cell_angle_gamma 90.00
loop_
_atom_site_label
_atom_site_fract_x
_atom_site_fract_y
_atom_site_fract_z
_atom_site_occupancy
Ac1 0.2320 0.0000 0.2145 1
Ac2 0.2501 0.5000 0.7757 1
Te1 0.5000 0.5000 0.5000 1
Ir1 0.0000 0.5000 0.0000 1
Ir2 0.5000 0.0000 0.0000 1
S1 0.0000 0.0000 0.5000 1
# Formation energy (no corrections) = -1.17 eV per atom
# Calculated total energy = -6.35 eV per atom
# Density of states at the Fermi level = 3.851 states/eV per cell

Entry 2:
# La2TmSb | Alexandria via LeMat-Bulk | PBE-GGA | optimized geometry
data_La2TmSb
_space_group_name_H-M_alt 'P 4/m m m'
_space_group_IT_number 123
_space_group_name_Hall '-P 4 2'
_cell_length_a 4.2795
_cell_length_b 4.2795
_cell_length_c 6.9913
_cell_angle_alpha 90.00
_cell_angle_beta 90.00
_cell_angle_gamma 90.00
loop_
_atom_site_label
_atom_site_fract_x
_atom_site_fract_y
_atom_site_fract_z
_atom_site_occupancy
La1 0.0000 0.0000 0.2283 1
Tm1 0.5000 0.5000 0.5000 1
Sb1 0.5000 0.5000 0.0000 1
# Formation energy (no corrections) = -0.53 eV per atom
# Calculated total energy = -5.14 eV per atom
# Density of states at the Fermi level = 5.161 states/eV per cell
# Energy above the lowest structure with this stoichiometry = 0.06 eV/f.u.

Q: Which value of density of states at the Fermi level does entry 2 give?
A: 5.161 states/eV per cell